MnCuNO2, optimized geometry, DFT PBE+U; final energy = -5.721 eV/atom; theoretical density = 5.05 Mg/m³; D(E_F) = 3.0 states/eV/f.u.
1.0
3.777 0.000 0.000
0.000 3.777 0.000
0.000 0.000 3.793
Mn O Cu N
1 2 1 1
Cartesian
0.000 0.000 0.000
0.000 1.888 0.000
1.888 0.000 0.000
1.888 1.888 1.897
0.000 0.000 1.897